# 1
## KAlSe (GGA-PBE)

Data for an optimized crystal structure of KAlSe.

```
KAlSe
1.0
4.831 0.000 0.000
-2.331 5.875 0.000
-1.771 -1.863 7.191
K Al Se
2 2 2
Direct
0.161 0.405 0.759
0.773 0.060 0.155
0.224 0.877 0.520
0.646 0.706 0.509
0.485 0.267 0.450
0.080 0.894 0.826
```

Space group: P1 (1)
Energy relative to the elements, uncorrected: -0.700 eV per atom
Calculated volume: 204.1 Å³ per cell
ΔE to the lowest computed polymorph: 12 meV per atom


# 2
## KAlSe2 (GGA-PBE)

Data for an optimized crystal structure of KAlSe2.

```
KAlSe2
1.0
6.126 -0.002 0.000
-0.018 7.501 -0.001
-2.174 5.094 6.149
K Al Se
2 2 4
Direct
0.663 0.739 0.281
0.897 0.509 0.957
0.038 0.121 0.626
0.522 0.127 0.612
0.363 0.801 0.843
0.844 0.173 0.818
0.716 0.075 0.420
0.197 0.447 0.395
```

Space group: P-1 (2)
Energy relative to the elements, uncorrected: -1.139 eV per atom
Calculated volume: 282.6 Å³ per cell
DOS(E_F): 0.000 states/eV per atom


# 3
## K3AlSe (GGA-PBE)

Data for an optimized crystal structure of K3AlSe.

```
K3AlSe
1.0
-0.205 2.810 -5.615
4.265 -4.060 -2.188
-4.607 -3.883 -1.776
K Al Se
3 1 1
Direct
0.000 0.500 0.000
0.000 0.000 0.500
0.500 0.000 0.000
0.500 0.500 0.500
0.000 0.000 0.000
```

Space group: Pm-3m (221)
Energy relative to the elements, uncorrected: -0.190 eV per atom
Calculated volume: 247.9 Å³ per cell
ΔE to the lowest computed polymorph: 0 meV per atom
DOS(E_F): 0.697 states/eV per atom